Ce2PrAl2 | GGA-PBE | relaxed

Values from the calculation:
Energy of formation = -0.89 eV per formula unit
Volume = 260.57 Å³/cell
Spin magnetization = 0.7 μB/f.u.

Unit cell a=3.280 b=8.913 c=8.913 alpha=90.00 beta=90.00 gamma=90.00
Last column: magnetic moment on the atom in μB.
Element x y z (fractional)
Ce 0.000 0.892 0.392  0.34
Ce 0.000 0.392 0.108  0.34
Ce 0.000 0.108 0.608  0.34
Ce 0.000 0.608 0.892  0.34
Pr 0.000 0.000 0.000  -0.07
Pr 0.000 0.500 0.500  -0.07
Al 0.500 0.316 0.816  0.00
Al 0.500 0.816 0.684  0.00
Al 0.500 0.684 0.184  0.00
Al 0.500 0.184 0.316  0.00

***

CePrAl6 | GGA-PBE | relaxed

Values from the calculation:
Energy of formation = -3.40 eV per formula unit
Volume = 168.49 Å³/cell
Spin magnetization = 0.4 μB/f.u.

Unit cell a=4.644 b=6.471 c=6.471 alpha=119.97 beta=90.00 gamma=90.00
Last column: magnetic moment on the atom in μB.
Element x y z (fractional)
Ce 0.000 0.083 0.917  0.43
Pr 0.500 0.417 0.583  -0.01
Al 0.000 0.033 0.391  0.00
Al 0.000 0.609 0.967  0.00
Al 0.000 0.609 0.391  0.00
Al 0.500 0.464 0.107  0.00
Al 0.500 0.893 0.536  0.00
Al 0.500 0.893 0.107  0.00

***

CePrScAl | GGA-PBE | relaxed

Values from the calculation:
Energy of formation = -0.16 eV per formula unit
Volume = 107.34 Å³/cell
Spin magnetization = 1.4 μB/f.u.

Unit cell a=5.335 b=5.335 c=5.335 alpha=60.00 beta=60.00 gamma=60.00
Last column: magnetic moment on the atom in μB.
Element x y z (fractional)
Pr 0.750 0.750 0.750  0.07
Sc 0.500 0.500 0.500  0.28
Al 0.000 0.000 0.000  -0.01
Ce 0.250 0.250 0.250  0.71

***

Ce2Pr2AlSi4 | GGA-PBE | relaxed

Values from the calculation:
Volume = 214.29 Å³/cell
DFT total energy = -5.3861 eV/atom
Spin magnetization = 0.8 μB/f.u.

Unit cell a=6.581 b=6.581 c=6.581 alpha=99.22 beta=114.83 gamma=114.83
Last column: magnetic moment on the atom in μB.
Element x y z (fractional)
Ce 0.000 0.668 0.668  0.29
Ce 0.000 0.332 0.332  0.29
Pr 0.500 0.750 0.250  0.04
Pr 0.500 0.250 0.750  0.04
Al 0.000 0.000 0.000  0.01
Si 0.000 0.756 0.244  -0.01
Si 0.512 0.756 0.756  -0.01
Si 0.000 0.244 0.756  -0.01
Si 0.488 0.244 0.244  -0.01

***

CePrThAl | GGA-PBE | relaxed

Values from the calculation:
Energy of formation = 0.13 eV per formula unit
Volume = 111.91 Å³/cell
Spin magnetization = 0.3 μB/f.u.

Unit cell a=5.409 b=5.409 c=5.409 alpha=60.00 beta=60.00 gamma=60.00
Last column: magnetic moment on the atom in μB.
Element x y z (fractional)
Pr 0.500 0.500 0.500  0.02
Ce 0.750 0.750 0.750  0.14
Th 0.000 0.000 0.000  0.04
Al 0.250 0.250 0.250  0.00

***

CePrAlTl | GGA-PBE | relaxed

Values from the calculation:
Energy of formation = -1.02 eV per formula unit
Volume = 112.59 Å³/cell
Spin magnetization = 0.9 μB/f.u.

Unit cell a=5.420 b=5.420 c=5.420 alpha=60.00 beta=60.00 gamma=60.00
Last column: magnetic moment on the atom in μB.
Element x y z (fractional)
Pr 0.500 0.500 0.500  0.01
Tl 0.250 0.250 0.250  0.01
Al 0.750 0.750 0.750  0.01
Ce 0.000 0.000 0.000  0.79

***

CePrTmAl | GGA-PBE | relaxed

Values from the calculation:
Energy of formation = -0.08 eV per formula unit
Volume = 111.63 Å³/cell
Spin magnetization = 0.9 μB/f.u.

Unit cell a=5.405 b=5.405 c=5.405 alpha=60.00 beta=60.00 gamma=60.00
Last column: magnetic moment on the atom in μB.
Element x y z (fractional)
Pr 0.250 0.250 0.250  0.03
Tm 0.000 0.000 0.000  0.13
Al 0.500 0.500 0.500  -0.01
Ce 0.750 0.750 0.750  0.60

***

CePrYAl | GGA-PBE | relaxed

Values from the calculation:
Energy of formation = 0.02 eV per formula unit
Volume = 110.44 Å³/cell
Spin magnetization = 0.0 μB/f.u.

Unit cell a=5.385 b=5.385 c=5.385 alpha=60.00 beta=60.00 gamma=60.00
Element x y z (fractional)
Pr 0.750 0.750 0.750
Y 0.250 0.250 0.250
Al 0.500 0.500 0.500
Ce 0.000 0.000 0.000

***

CePrAlZn | GGA-PBE | relaxed

Values from the calculation:
Energy of formation = -1.01 eV per formula unit
Volume = 101.23 Å³/cell
Spin magnetization = 0.6 μB/f.u.

Unit cell a=5.231 b=5.231 c=5.231 alpha=60.00 beta=60.00 gamma=60.00
Last column: magnetic moment on the atom in μB.
Element x y z (fractional)
Pr 0.250 0.250 0.250  0.00
Zn 0.000 0.000 0.000  0.00
Al 0.500 0.500 0.500  -0.01
Ce 0.750 0.750 0.750  0.53

***

Ce2Al9Pt3 | GGA-PBE | relaxed

Values from the calculation:
Energy of formation = -11.32 eV per formula unit
Volume = 493.71 Å³/cell
Spin magnetization = 3.0 μB/f.u.

Unit cell a=7.695 b=7.695 c=10.613 alpha=89.90 beta=111.27 gamma=120.13
Last column: magnetic moment on the atom in μB.
Element x y z (fractional)
Ce 0.334 0.248 0.750  0.99
Ce 0.666 0.752 0.250  0.99
Ce 0.998 0.584 0.750  0.99
Ce 0.002 0.416 0.250  0.99
Al 0.462 0.919 0.749  0.01
Al 0.538 0.081 0.251  0.01
Al 0.670 0.713 0.751  0.01
Al 0.330 0.287 0.249  0.01
Al 0.453 0.644 0.928  0.02
Al 0.547 0.356 0.072  0.02
Al 0.217 0.525 0.572  0.02
Al 0.783 0.475 0.428  0.02
Al 0.874 0.124 0.750  0.01
Al 0.126 0.876 0.250  0.01
Al 0.128 0.981 0.942  0.01
Al 0.872 0.019 0.058  0.01
Al 0.539 0.186 0.558  0.01
Al 0.461 0.814 0.442  0.01
Al 0.879 0.857 0.571  0.02
Al 0.121 0.143 0.429  0.02
Al 0.786 0.308 0.929  0.02
Al 0.214 0.692 0.071  0.02
Pt 0.500 0.000 0.000  0.07
Pt 0.500 0.500 0.500  0.07
Pt 0.838 0.170 0.500  0.06
Pt 0.162 0.830 0.500  0.06
Pt 0.170 0.338 0.000  0.06
Pt 0.830 0.662 0.000  0.06

***

Ce2Al16Pt9 | GGA-PBE | relaxed

Values from the calculation:
Energy of formation = -26.69 eV per formula unit
Volume = 458.95 Å³/cell
Spin magnetization = 1.1 μB/f.u.

Unit cell a=11.151 b=11.151 c=11.151 alpha=158.42 beta=114.97 gamma=69.38
Last column: magnetic moment on the atom in μB.
Element x y z (fractional)
Ce 0.228 0.228 0.000  0.56
Ce 0.772 0.772 0.000  0.56
Al 0.273 0.392 0.882  0.00
Al 0.092 0.920 0.172  0.00
Al 0.512 0.204 0.308  0.00
Al 0.251 0.080 0.172  0.00
Al 0.913 0.413 0.500  0.00
Al 0.727 0.608 0.118  0.00
Al 0.895 0.204 0.692  0.00
Al 0.488 0.796 0.692  0.00
Al 0.387 0.000 0.387  0.00
Al 0.613 0.000 0.613  0.00
Al 0.490 0.608 0.882  0.00
Al 0.105 0.796 0.308  0.00
Al 0.908 0.080 0.828  0.00
Al 0.749 0.920 0.828  0.00
Al 0.510 0.392 0.118  0.00
Al 0.087 0.587 0.500  0.00
Pt 0.748 0.500 0.248  0.00
Pt 0.024 0.339 0.685  -0.01
Pt 0.626 0.126 0.500  -0.01
Pt 0.252 0.500 0.752  0.00
Pt 0.374 0.874 0.500  -0.01
Pt 0.000 0.000 0.000  -0.01
Pt 0.655 0.339 0.315  -0.01
Pt 0.345 0.661 0.685  -0.01
Pt 0.976 0.661 0.315  -0.01

***

Ce2AlPt3 | GGA-PBE | relaxed

Values from the calculation:
Energy of formation = -6.41 eV per formula unit
Volume = 114.86 Å³/cell
Energy relative to the lowest polymorph listed for this composition = 0 meV/atom
Spin magnetization = 1.0 μB/f.u.

Unit cell a=5.293 b=5.293 c=5.293 alpha=64.33 beta=64.33 gamma=64.33
Last column: magnetic moment on the atom in μB.
Element x y z (fractional)
Ce 0.383 0.383 0.383  0.43
Ce 0.617 0.617 0.617  0.43
Al 0.000 0.000 0.000  0.00
Pt 0.000 0.000 0.500  -0.01
Pt 0.500 0.000 0.000  -0.01
Pt 0.000 0.500 0.000  -0.01

***

Q: What is the volume in the tenth record?
A: 493.71 Å³/cell